# 1
First-principles (PBE) data for crystalline Tl2GaPbF6 at its relaxed geometry, as listed in Alexandria.

Output
formation energy without anion corrections: -2.0449 eV/atom

Cell and atoms, written as CIF:
```
data_Tl2GaPbF6
_chemical_formula_sum 'Tl4 Ga2 Pb2 F12'
_cell_length_a 6.294
_cell_length_b 9.032
_cell_length_c 6.482
_cell_angle_alpha 90.00
_cell_angle_beta 90.00
_cell_angle_gamma 90.00
_symmetry_space_group_name_H-M 'P m m n'
_symmetry_Int_Tables_number 59
loop_
_symmetry_equiv_pos_as_xyz
'x,y,z'
'-x,-y,-z'
'-x+1/2,-y+1/2,z'
'x+1/2,y+1/2,-z'
'x+1/2,-y,-z'
'-x+1/2,y,z'
'-x,y+1/2,-z'
'x,-y+1/2,z'
loop_
_atom_site_label
_atom_site_fract_x
_atom_site_fract_y
_atom_site_fract_z
_atom_site_occupancy
Tl1 0.250 0.003 0.249 1
Ga1 0.250 0.750 0.750 1
Pb1 0.250 0.250 0.749 1
F1 0.027 0.750 0.536 1
F2 0.027 0.750 0.966 1
F3 0.250 0.531 0.751 1
```



# 2
First-principles (PBE) data for crystalline TlGaPb2F8 at its relaxed geometry, as listed in Alexandria.

Output
formation energy without anion corrections: -2.3557 eV/atom

Cell and atoms, written as CIF:
```
data_TlGaPb2F8
_chemical_formula_sum 'Tl1 Ga1 Pb2 F8'
_cell_length_a 5.302
_cell_length_b 5.411
_cell_length_c 7.707
_cell_angle_alpha 92.00
_cell_angle_beta 90.01
_cell_angle_gamma 91.30
_symmetry_space_group_name_H-M 'P -1'
_symmetry_Int_Tables_number 2
loop_
_symmetry_equiv_pos_as_xyz
'x,y,z'
'-x,-y,-z'
loop_
_atom_site_label
_atom_site_fract_x
_atom_site_fract_y
_atom_site_fract_z
_atom_site_occupancy
Tl1 0.000 0.000 0.000 1
Ga1 0.000 0.000 0.500 1
Pb1 0.481 0.511 0.738 1
F1 0.167 0.195 0.327 1
F2 0.222 0.132 0.683 1
F3 0.236 0.735 0.456 1
F4 0.295 0.625 0.028 1
```



# 3
First-principles (PBE) data for crystalline ZrGa2PbF at its relaxed geometry, as listed in Alexandria.

Output
formation energy without anion corrections: -0.4257 eV/atom

Cell and atoms, written as CIF:
```
data_ZrGa2PbF
_chemical_formula_sum 'Zr1 Ga2 Pb1 F1'
_cell_length_a 4.541
_cell_length_b 4.541
_cell_length_c 4.854
_cell_angle_alpha 90.00
_cell_angle_beta 90.00
_cell_angle_gamma 90.00
_symmetry_space_group_name_H-M 'P 4/m m m'
_symmetry_Int_Tables_number 123
_symmetry_space_group_name_Hall '-P 4 2'
loop_
_atom_site_label
_atom_site_fract_x
_atom_site_fract_y
_atom_site_fract_z
_atom_site_occupancy
Zr1 0.000 0.000 0.000 1
Ga1 0.000 0.500 0.500 1
Pb1 0.500 0.500 0.000 1
F1 0.500 0.500 0.500 1
```



Number 1: raw total energy -4.314 eV per atom, N(E_F) 7.24 states/eV/cell. Number 2: raw total energy -4.671 eV per atom, N(E_F) 0.00 states/eV/cell. Number 3: raw total energy -4.462 eV per atom, N(E_F) 2.64 states/eV/cell.